DFT (PBE-GGA) results for a relaxed structure of Pu2InH.

a b c (Å): 3.762 3.762 6.088
angles (deg): 72.00 72.00 60.00
Positions (direct):
H: 0.000 0.000 0.000
In: 0.500 0.500 0.500
Pu: 0.303 0.303 0.090
Pu: 0.697 0.697 0.910

Output
energy above the lowest structure with this stoichiometry	250	meV per atom


DFT (PBE-GGA) results for a relaxed structure of Pu2InH2.

a b c (Å): 3.521 6.796 7.167
angles (deg): 112.27 104.22 90.00
Positions (direct):
H: 0.919 0.500 0.335
Pu: 0.940 0.205 0.383
H: 0.584 0.000 0.665
H: 0.081 0.500 0.665
Pu: 0.558 0.295 0.617
In: 0.248 0.250 0.000
In: 0.752 0.750 0.000
Pu: 0.442 0.705 0.383
Pu: 0.060 0.795 0.617
H: 0.416 0.000 0.335

Output
final energy	-75.046	eV/cell


DFT (PBE-GGA) results for a relaxed structure of Pu2InH12Rh3.

a b c (Å): 5.949 5.949 5.949
angles (deg): 65.26 65.26 65.26
Site moments in Bohr magnetons follow the coordinates.
Positions (direct):
H: 0.676 0.132 0.676  -0.01
H: 0.587 0.136 0.136  0.00
H: 0.864 0.413 0.864  0.00
H: 0.136 0.587 0.136  0.00
H: 0.413 0.864 0.864  0.00
Pu: 0.608 0.608 0.608  5.62
Rh: 0.000 0.500 0.000  0.16
Rh: 0.500 0.000 0.000  0.16
Pu: 0.392 0.392 0.392  5.62
H: 0.132 0.676 0.676  -0.01
H: 0.868 0.324 0.324  -0.01
H: 0.864 0.864 0.413  0.00
In: 0.000 0.000 0.000  0.05
H: 0.676 0.676 0.132  -0.01
H: 0.324 0.868 0.324  -0.01
Rh: 0.000 0.000 0.500  0.16
H: 0.136 0.136 0.587  0.00
H: 0.324 0.324 0.868  -0.01

Output
final energy	-95.702	eV/cell


DFT (PBE-GGA) results for a relaxed structure of PuInHRh2.

a b c (Å): 3.146 6.787 7.730
angles (deg): 90.00 90.00 103.40
Site moments in Bohr magnetons follow the coordinates.
Positions (direct):
In: 0.757 0.513 0.750  0.01
Rh: 0.867 0.734 0.046  -0.17
H: 0.000 0.000 0.500  -0.01
Rh: 0.867 0.734 0.454  -0.17
Pu: 0.515 0.030 0.250  5.07
Rh: 0.133 0.266 0.954  -0.17
Pu: 0.485 0.970 0.750  5.07
H: 0.000 0.000 0.000  -0.01
Rh: 0.133 0.266 0.546  -0.17
In: 0.243 0.487 0.250  0.01

Output
final energy	-73.494	eV/cell


DFT (PBE-GGA) results for a relaxed structure of Rb2InH4.

a b c (Å): 5.666 7.866 7.628
angles (deg): 117.87 90.00 111.11
Positions (direct):
Rb: 0.171 0.342 0.786
Rb: 0.526 0.053 0.260
In: 0.807 0.613 0.695
H: 0.073 0.147 0.358
H: 0.612 0.714 0.885
Rb: 0.829 0.658 0.214
H: 0.388 0.286 0.115
In: 0.193 0.387 0.305
H: 0.102 0.714 0.885
H: 0.927 0.853 0.642
H: 0.898 0.286 0.115
H: 0.335 0.670 0.313
H: 0.665 0.330 0.687
Rb: 0.474 0.947 0.740

Output
energy above the lowest structure with this stoichiometry	0	meV per atom


DFT (PBE-GGA) results for a relaxed structure of RbIn3H.

a b c (Å): 5.145 5.145 5.145
angles (deg): 90.00 90.00 90.00
Positions (direct):
In: 0.000 0.000 0.500
In: 0.500 0.000 0.000
Rb: 0.500 0.500 0.500
In: 0.000 0.500 0.000
H: 0.000 0.000 0.000

Output
final energy	-11.127	eV/cell


Q: Which total magnetic moment values were calculated for the entries above? A: 0.0; 0.0; 12.4; 4.9; 0.0; 0.0, in μB per formula unit.